Below is a relaxed TePtIO2 crystal, with properties calculated at the PBE level.

Fermi-level density of states	0.4073	states/eV/atom
offset from the most stable computed form	0.000	eV per atom
ΔE_f (raw)	-0.3	eV/f.u.
SG	P4/mmm (123)

a = 3.958 Å, b = 3.958 Å, c = 6.876 Å
α = 90.00°, β = 90.00°, γ = 90.00°
Fractional positions:
Te (0.000, 0.000, 0.000)
Pt (0.500, 0.500, 0.500)
I (0.000, 0.000, 0.500)
O (0.000, 0.500, 0.000)
O (0.500, 0.000, 0.000)

***

Below is a relaxed Te2PtIO crystal, with properties calculated at the PBE level.

Fermi-level density of states	1.2079	states/eV/atom
offset from the most stable computed form	0.000	eV per atom
ΔE_f (raw)	2.7	eV/f.u.
SG	P4/mmm (123)

a = 4.348 Å, b = 4.348 Å, c = 6.881 Å
α = 90.00°, β = 90.00°, γ = 90.00°
Fractional positions:
Te (0.000, 0.500, 0.000)
Te (0.500, 0.000, 0.000)
Pt (0.000, 0.000, 0.500)
I (0.500, 0.500, 0.500)
O (0.500, 0.500, 0.000)

***

Below is a relaxed Te2PtIO crystal, with properties calculated at the PBE level.

Fermi-level density of states	2.2677	states/eV/atom
offset from the most stable computed form	0.363	eV per atom
ΔE_f (raw)	4.5	eV/f.u.
SG	P4/mmm (123)

a = 5.266 Å, b = 5.266 Å, c = 5.469 Å
α = 90.00°, β = 90.00°, γ = 90.00°
Fractional positions:
Te (0.000, 0.500, 0.000)
Te (0.500, 0.000, 0.000)
Pt (0.000, 0.000, 0.000)
I (0.000, 0.000, 0.500)
O (0.500, 0.500, 0.500)

***

Number 1: spin magnetization 0.000 μB per formula unit. Number 2: spin magnetization 0.000 μB per formula unit. Number 3: spin magnetization 0.000 μB per formula unit.